Record 1
Entry from the Alexandria database: a relaxed TaReCl2 crystal (PBE).

POSCAR file:
```
TaReCl2
1.0
6.991 -1.540 0.000
6.991 1.540 0.000
-0.373 0.000 4.374
Ta Re Cl
1 1 2
Direct
0.000 0.000 0.000
0.500 0.500 0.500
0.359 0.359 0.781
0.641 0.641 0.219
```

Relative energy among the computed polymorphs, meV/atom: 508
Energy relative to the elements, uncorrected, eV/atom: 0.008
Mass density, g cm⁻³: 7.7

Record 2
Entry from the Alexandria database: a relaxed BeCo2Cu crystal (PBE).

POSCAR file:
```
BeCo2Cu
1.0
2.802 0.000 0.000
0.000 3.824 0.000
0.000 0.000 3.909
Be Co Cu
1 2 1
Direct
0.000 0.000 0.000
0.000 0.500 0.500
0.500 0.000 0.500
0.500 0.500 0.000
```

Mass density, g cm⁻³: 7.5
E_tot, eV/atom: -5.466

Record 3
Entry from the Alexandria database: a relaxed Cd3Mo crystal (PBE).

POSCAR file:
```
Cd3Mo
1.0
2.996 0.000 0.000
-1.498 2.595 0.000
0.000 0.000 10.053
Cd Mo
3 1
Direct
0.000 0.000 0.000
0.667 0.333 0.261
0.667 0.333 0.739
0.000 0.000 0.500
```

Relative energy among the computed polymorphs, meV/atom: 24
Mass density, g cm⁻³: 9.2

Record 4
Entry from the Alexandria database: a relaxed Pm6Nd2Er3Mg crystal (PBE).

POSCAR file:
```
Pm6Nd2Er3Mg
1.0
3.108 -5.387 0.000
3.108 5.387 0.000
-2.080 0.000 11.660
Pm Nd Er Mg
6 2 3 1
Direct
0.084 0.414 0.753
0.248 0.248 0.246
0.414 0.084 0.753
0.586 0.916 0.247
0.752 0.752 0.754
0.916 0.586 0.247
0.333 0.667 0.500
0.667 0.333 0.500
0.166 0.834 0.000
0.500 0.500 0.000
0.834 0.166 0.000
0.000 0.000 0.500
```

Mass density, g cm⁻³: 7.2
E_tot, eV/atom: -4.431

Record 5
Entry from the Alexandria database: a relaxed DyAlGa2 crystal (PBE).

POSCAR file:
```
DyAlGa2
1.0
4.298 0.000 0.000
0.000 4.298 0.000
0.000 0.000 4.198
Dy Al Ga
1 1 2
Direct
0.000 0.000 0.000
0.500 0.500 0.000
0.000 0.500 0.500
0.500 0.000 0.500
```

Mass density, g cm⁻³: 7.0
E_tot, eV/atom: -4.093

Record 6
Entry from the Alexandria database: a relaxed LiAlBiCl2 crystal (PBE).

POSCAR file:
```
LiAlBiCl2
1.0
4.558 0.000 0.000
0.000 4.558 0.000
0.000 0.000 5.724
Li Al Bi Cl
1 1 1 2
Direct
0.000 0.000 0.000
0.000 0.000 0.500
0.500 0.500 0.500
0.000 0.500 0.000
0.500 0.000 0.000
```

Energy relative to the elements, uncorrected, eV/atom: -0.382
Mass density, g cm⁻³: 4.4

Record 7
Entry from the Alexandria database: a relaxed CaTmZn2Pt2 crystal (PBE).

POSCAR file:
```
CaTmZn2Pt2
1.0
4.432 0.000 0.000
-2.216 3.838 0.000
0.000 0.000 7.180
Ca Tm Zn Pt
1 1 2 2
Direct
0.000 0.000 0.000
0.000 0.000 0.500
0.333 0.667 0.732
0.667 0.333 0.268
0.333 0.667 0.280
0.667 0.333 0.720
```

Mass density, g cm⁻³: 9.9
E_tot, eV/atom: -4.349

Record 8
Entry from the Alexandria database: a relaxed TaTcCl crystal (PBE).

POSCAR file:
```
TaTcCl
1.0
-1.504 2.066 3.931
1.504 -2.066 3.931
1.504 2.066 -3.931
Ta Tc Cl
1 1 1
Direct
0.000 0.000 0.000
0.343 0.343 0.000
0.679 0.679 0.000
```

Relative energy among the computed polymorphs, meV/atom: 667
Energy relative to the elements, uncorrected, eV/atom: 0.533
Mass density, g cm⁻³: 10.7

Record 9
Entry from the Alexandria database: a relaxed Mn3HOs crystal (PBE).

POSCAR file:
```
Mn3HOs
1.0
2.675 0.000 0.000
-1.338 2.317 0.000
0.000 0.000 16.230
Mn H Os
6 2 2
Direct
0.000 0.000 0.250
0.000 0.000 0.750
0.333 0.667 0.128
0.333 0.667 0.372
0.667 0.333 0.628
0.667 0.333 0.872
0.333 0.667 0.250
0.667 0.333 0.750
0.000 0.000 0.000
0.000 0.000 0.500
```

Relative energy among the computed polymorphs, meV/atom: 226
Mass density, g cm⁻³: 11.8

Record 10
Entry from the Alexandria database: a relaxed AcEu2As crystal (PBE).

POSCAR file:
```
AcEu2As
1.0
3.872 0.000 0.000
0.000 3.872 0.000
0.000 0.000 9.169
Ac Eu As
1 2 1
Direct
0.000 0.000 0.000
0.500 0.500 0.328
0.500 0.500 0.672
0.000 0.000 0.500
```

Relative energy among the computed polymorphs, meV/atom: 0
Mass density, g cm⁻³: 7.3

Record 11
Entry from the Alexandria database: a relaxed As2PbO6 crystal (PBE).

POSCAR file:
```
As2PbO6
1.0
2.790 1.611 5.975
-2.790 1.611 5.975
0.000 -3.222 5.975
As Pb O
2 1 6
Direct
0.000 0.000 0.000
0.132 0.132 0.132
0.733 0.733 0.733
0.064 0.491 0.908
0.315 0.898 0.725
0.491 0.908 0.064
0.725 0.315 0.898
0.898 0.725 0.315
0.908 0.064 0.491
```

Energy relative to the elements, uncorrected, eV/atom: -0.808
Mass density, g cm⁻³: 4.7

Record 12
Entry from the Alexandria database: a relaxed YTmPb crystal (PBE).

POSCAR file:
```
YTmPb
1.0
5.276 0.000 0.000
-2.638 4.569 0.000
0.000 0.000 3.715
Y Tm Pb
1 1 1
Direct
0.000 0.000 0.000
0.333 0.667 0.467
0.667 0.333 0.690
```

Mass density, g cm⁻³: 8.6
E_tot, eV/atom: -5.085

Record 13
Entry from the Alexandria database: a relaxed HfPaCu crystal (PBE).

POSCAR file:
```
HfPaCu
1.0
-1.545 1.545 6.328
1.545 -1.545 6.328
1.545 1.545 -6.328
Hf Pa Cu
1 1 1
Direct
0.000 0.000 0.000
0.691 0.691 0.000
0.362 0.362 0.000
```

Relative energy among the computed polymorphs, meV/atom: 0
Mass density, g cm⁻³: 13.0

Record 14
Entry from the Alexandria database: a relaxed La2YMn crystal (PBE).

POSCAR file:
```
La2YMn
1.0
5.208 0.000 0.000
0.000 5.208 0.000
0.000 0.000 4.461
La Y Mn
2 1 1
Direct
0.000 0.500 0.000
0.500 0.000 0.000
0.000 0.000 0.500
0.500 0.500 0.500
```

Relative energy among the computed polymorphs, meV/atom: 105
Mass density, g cm⁻³: 5.8

Record 15
Entry from the Alexandria database: a relaxed ErLuTiCd crystal (PBE).

POSCAR file:
```
ErLuTiCd
1.0
0.000 3.653 3.653
3.653 0.000 3.653
3.653 3.653 0.000
Er Lu Ti Cd
1 1 1 1
Direct
0.000 0.000 0.000
0.500 0.500 0.500
0.750 0.750 0.750
0.250 0.250 0.250
```

Mass density, g cm⁻³: 8.6
E_tot, eV/atom: -4.428

Record 16
Entry from the Alexandria database: a relaxed LaTlS2N crystal (PBE).

POSCAR file:
```
LaTlS2N
1.0
5.736 0.000 0.000
0.000 5.736 0.000
0.000 0.000 4.404
La Tl S N
1 1 2 1
Direct
0.000 0.000 0.000
0.500 0.500 0.500
0.000 0.500 0.000
0.500 0.000 0.000
0.000 0.000 0.500
```

Relative energy among the computed polymorphs, meV/atom: 0
Energy relative to the elements, uncorrected, eV/atom: -0.035
Mass density, g cm⁻³: 4.8

Record 17
Entry from the Alexandria database: a relaxed AcPrCoHg crystal (PBE).

POSCAR file:
```
AcPrCoHg
1.0
0.000 3.801 3.801
3.801 0.000 3.801
3.801 3.801 0.000
Ac Pr Co Hg
1 1 1 1
Direct
0.000 0.000 0.000
0.500 0.500 0.500
0.250 0.250 0.250
0.750 0.750 0.750
```

Mass density, g cm⁻³: 9.5
E_tot, eV/atom: -4.137

Record 18
Entry from the Alexandria database: a relaxed AgB crystal (PBE).

POSCAR file:
```
AgB
1.0
2.785 0.000 0.000
0.000 5.513 2.890
0.000 -5.513 2.890
Ag B
3 3
Direct
0.000 0.000 0.000
0.000 0.136 0.606
0.000 0.606 0.136
0.500 0.497 0.788
0.500 0.654 0.654
0.500 0.788 0.497
```

Relative energy among the computed polymorphs, meV/atom: 397
Mass density, g cm⁻³: 6.7

Record 19
Entry from the Alexandria database: a relaxed BaCuHF6 crystal (PBE).

POSCAR file:
```
BaCuHF6
1.0
4.678 0.000 0.000
-0.180 5.066 0.000
-2.053 -0.580 5.370
Ba Cu H F
1 1 1 6
Direct
0.000 0.000 0.000
0.500 0.500 0.500
0.500 0.500 0.000
0.149 0.584 0.273
0.309 0.191 0.503
0.468 0.706 0.927
0.532 0.294 0.073
0.691 0.809 0.497
0.851 0.416 0.727
```

Mass density, g cm⁻³: 4.1
E_tot, eV/atom: -4.586

Record 20
Entry from the Alexandria database: a relaxed ReGe2PbO8 crystal (PBE).

POSCAR file:
```
ReGe2PbO8
1.0
2.396 1.383 8.572
-2.396 1.383 8.572
0.000 -2.766 8.572
Re Ge Pb O
1 2 1 8
Direct
0.000 0.000 0.000
0.261 0.261 0.261
0.739 0.739 0.739
0.500 0.500 0.500
0.054 0.354 0.737
0.193 0.193 0.193
0.263 0.646 0.946
0.354 0.737 0.054
0.646 0.946 0.263
0.737 0.054 0.354
0.807 0.807 0.807
0.946 0.263 0.646
```

Energy relative to the elements, uncorrected, eV/atom: -1.243
Mass density, g cm⁻³: 6.5